(1)
Compound: ScTiTeN2
Source: Alexandria via LeMat-Bulk
Functional: PBE
Structure: optimized geometry

Properties
- Size of the total moment: 0.00 μB per formula unit
- ΔE to the lowest computed polymorph: 0.700 eV per atom
- SG: P4/mmm

abc: 4.0762 4.0762 5.6946
angles: 90.00 90.00 90.00
Closest atoms and distances in Å follow each position.
Fractional coordinates of all 5 atoms:
Ti 0.5000 0.5000 0.5000  4 Te 2.88
N 0.5000 0.0000 0.0000  2 Sc 2.04
N 0.0000 0.5000 0.0000  2 Sc 2.04
Te 0.0000 0.0000 0.5000  2 Sc 2.85, 4 Ti 2.88
Sc 0.0000 0.0000 0.0000  4 N 2.04

(2)
Compound: ScTiTe2N
Source: Alexandria via LeMat-Bulk
Functional: PBE
Structure: optimized geometry

Properties
- Size of the total moment: 0.16 μB per formula unit
- ΔE to the lowest computed polymorph: 0.000 eV per atom
- SG: P4/mmm

abc: 5.4865 5.4865 3.7672
angles: 90.00 90.00 90.00
Closest atoms and distances in Å follow each position.
Fractional coordinates of all 5 atoms:
Sc 0.5000 0.5000 0.5000  8 Te 3.33
N 0.0000 0.0000 0.5000  2 Ti 1.88
Ti 0.0000 0.0000 0.0000  2 N 1.88
Te 0.0000 0.5000 0.0000  2 Ti 2.74
Te 0.5000 0.0000 0.0000  2 Ti 2.74

(3)
Compound: ScTiTe2N
Source: Alexandria via LeMat-Bulk
Functional: PBE
Structure: optimized geometry

Properties
- Size of the total moment: 2.61 μB per formula unit
- ΔE to the lowest computed polymorph: 0.563 eV per atom
- SG: P4/mmm

abc: 5.6273 5.6273 3.9246
angles: 90.00 90.00 90.00
Closest atoms and distances in Å follow each position.
Fractional coordinates of all 5 atoms:
N 0.0000 0.0000 0.5000  2 Sc 1.96
Ti 0.5000 0.5000 0.5000  8 Te 3.43
Te 0.5000 0.0000 0.0000  2 Sc 2.81
Te 0.0000 0.5000 0.0000  2 Sc 2.81
Sc 0.0000 0.0000 0.0000  2 N 1.96

(4)
Compound: ScVTe2N
Source: Alexandria via LeMat-Bulk
Functional: PBE
Structure: optimized geometry

Properties
- Size of the total moment: 0.95 μB per formula unit
- ΔE to the lowest computed polymorph: 0.000 eV per atom
- SG: P4/mmm

abc: 5.3979 5.3979 3.6711
angles: 90.00 90.00 90.00
Closest atoms and distances in Å follow each position.
Fractional coordinates of all 5 atoms:
Sc 0.5000 0.5000 0.5000  8 Te 3.26
V 0.0000 0.0000 0.0000  2 N 1.84
N 0.0000 0.0000 0.5000  2 V 1.84
Te 0.5000 0.0000 0.0000  2 V 2.70
Te 0.0000 0.5000 0.0000  2 V 2.70

(5)
Compound: ScVTe2N
Source: Alexandria via LeMat-Bulk
Functional: PBE
Structure: optimized geometry

Properties
- Size of the total moment: 3.06 μB per formula unit
- ΔE to the lowest computed polymorph: 0.665 eV per atom
- SG: P4/mmm

abc: 5.6748 5.6748 3.8635
angles: 90.00 90.00 90.00
Closest atoms and distances in Å follow each position.
Fractional coordinates of all 5 atoms:
Te 0.5000 0.0000 0.0000  2 Sc 2.84
Te 0.0000 0.5000 0.0000  2 Sc 2.84
V 0.5000 0.5000 0.5000  8 Te 3.43
Sc 0.0000 0.0000 0.0000  2 N 1.93
N 0.0000 0.0000 0.5000  2 Sc 1.93

(6)
Compound: ScTeWN2
Source: Alexandria via LeMat-Bulk
Functional: PBE
Structure: optimized geometry

Properties
- Size of the total moment: 0.00 μB per formula unit
- ΔE to the lowest computed polymorph: 0.000 eV per atom
- SG: P4/mmm

abc: 3.9940 3.9940 5.5881
angles: 90.00 90.00 90.00
Closest atoms and distances in Å follow each position.
Fractional coordinates of all 5 atoms:
N 0.0000 0.5000 0.0000  2 W 2.00
N 0.5000 0.0000 0.0000  2 W 2.00
Te 0.0000 0.0000 0.5000  2 W 2.79, 4 Sc 2.82
W 0.0000 0.0000 0.0000  4 N 2.00
Sc 0.5000 0.5000 0.5000  4 Te 2.82

(7)
Compound: ScTeWN2
Source: Alexandria via LeMat-Bulk
Functional: PBE
Structure: optimized geometry

Properties
- Size of the total moment: 1.07 μB per formula unit
- ΔE to the lowest computed polymorph: 1.284 eV per atom
- SG: P4/mmm

abc: 4.1553 4.1553 5.6642
angles: 90.00 90.00 90.00
Closest atoms and distances in Å follow each position.
Fractional coordinates of all 5 atoms:
W 0.5000 0.5000 0.5000  4 Te 2.94
Sc 0.0000 0.0000 0.0000  4 N 2.08
N 0.0000 0.5000 0.0000  2 Sc 2.08
N 0.5000 0.0000 0.0000  2 Sc 2.08
Te 0.0000 0.0000 0.5000  2 Sc 2.83, 4 W 2.94

(8)
Compound: YScTeN2
Source: Alexandria via LeMat-Bulk
Functional: PBE
Structure: optimized geometry

Properties
- Size of the total moment: 1.37 μB per formula unit
- ΔE to the lowest computed polymorph: 0.402 eV per atom
- SG: P4/mmm

abc: 4.3390 4.3390 6.0054
angles: 90.00 90.00 90.00
Closest atoms and distances in Å follow each position.
Fractional coordinates of all 5 atoms:
Sc 0.5000 0.5000 0.5000  4 Te 3.07
Y 0.0000 0.0000 0.0000  4 N 2.17
N 0.0000 0.5000 0.0000  2 Y 2.17
N 0.5000 0.0000 0.0000  2 Y 2.17
Te 0.0000 0.0000 0.5000  2 Y 3.00, 4 Sc 3.07

(9)
Compound: YScTeN2
Source: Alexandria via LeMat-Bulk
Functional: PBE
Structure: optimized geometry

Properties
- Size of the total moment: 0.40 μB per formula unit
- ΔE to the lowest computed polymorph: 0.000 eV per atom
- SG: P4/mmm

abc: 4.2311 4.2311 5.6569
angles: 90.00 90.00 90.00
Closest atoms and distances in Å follow each position.
Fractional coordinates of all 5 atoms:
Te 0.0000 0.0000 0.5000  2 Sc 2.83, 4 Y 2.99
Sc 0.0000 0.0000 0.0000  4 N 2.12
N 0.0000 0.5000 0.0000  2 Sc 2.12
N 0.5000 0.0000 0.0000  2 Sc 2.12
Y 0.5000 0.5000 0.5000  4 Te 2.99

(10)
Compound: ThSc2N
Source: Alexandria via LeMat-Bulk
Functional: PBE
Structure: optimized geometry

Properties
- Size of the total moment: 0.00 μB per formula unit
- ΔE to the lowest computed polymorph: 0.640 eV per atom
- SG: P4/mmm

abc: 3.0538 3.0538 7.9568
angles: 90.00 90.00 90.00
Closest atoms and distances in Å follow each position.
Fractional coordinates of all 4 atoms:
Sc 0.0000 0.0000 0.8388  4 N 2.51, 1 Sc 2.57
Sc 0.0000 0.0000 0.1612  4 N 2.51, 1 Sc 2.57
N 0.5000 0.5000 0.0000  8 Sc 2.51
Th 0.5000 0.5000 0.5000  4 Th 3.05

(11)
Compound: Th2ScN
Source: Alexandria via LeMat-Bulk
Functional: PBE
Structure: optimized geometry

Properties
- Raw total energy: -7.7861 eV/atom
- Size of the total moment: 0.00 μB per formula unit
- SG: R-3m

abc: 3.4601 3.4601 9.6699
angles: 79.69 79.69 60.00
Closest atoms and distances in Å follow each position.
Fractional coordinates of all 4 atoms:
Sc 0.0000 0.0000 0.0000  2 Th 3.22, 6 Sc 3.46
Th 0.8867 0.8867 0.3398  3 N 2.51
Th 0.1133 0.1133 0.6602  3 N 2.51
N 0.5000 0.5000 0.5000  6 Th 2.51

(12)
Compound: ThScN2
Source: Alexandria via LeMat-Bulk
Functional: PBE
Structure: optimized geometry

Properties
- Raw total energy: -8.9153 eV/atom
- Size of the total moment: 0.00 μB per formula unit
- SG: R3m

abc: 3.4041 3.4041 6.2441
angles: 74.18 74.18 60.00
Closest atoms and distances in Å follow each position.
Fractional coordinates of all 4 atoms:
Sc 0.4939 0.4939 0.5184  6 N 2.32-2.50
N 0.2473 0.2473 0.2581  3 Sc 2.50, 3 Th 2.50, 1 N 2.78
N 0.0910 0.0910 0.7270  3 Sc 2.32, 3 Th 2.53
Th 0.6678 0.6678 0.9966  6 N 2.50-2.53